No. 1
Material: RbBi2Os2
Method: DFT, GGA-PBE
State: optimized geometry

Unit cell a=8.533 b=8.533 c=3.206 alpha=90.00 beta=90.00 gamma=90.00
Space group P4/mbm (No. 127)
One atom of each set of equivalent atoms:
Rb1 0.000 0.000 0.000 x2
Bi1 0.154 0.346 0.500 x4
Os1 0.124 0.624 0.000 x4

Results
energy: -53.12 eV for the cell shown
DOS(E_F): 10.57 states/eV/cell



No. 2
Material: RbBi3Os
Method: DFT, GGA-PBE
State: optimized geometry

Unit cell a=5.984 b=5.984 c=5.984 alpha=90.00 beta=90.00 gamma=90.00
Space group Pm-3m (No. 221)
One atom of each set of equivalent atoms:
Rb1 0.000 0.000 0.000 x1
Bi1 0.000 0.000 0.500 x3
Os1 0.500 0.500 0.500 x1

Results
energy: -11.32 eV for the cell shown
DOS(E_F): 13.99 states/eV/cell



no.,relative energy among the computed polymorphs (eV per atom),energy relative to the elements (eV per formula unit)
1,0.271,4.63
2,1.977,12.52